No. 1
Compound: SrLiW2
Source: Alexandria via LeMat-Bulk
Functional: PBE
Structure: relaxed

ρ: 10.21 g cm⁻³
Energy relative to the elements: 1.0729 eV per atom
Space group: Cmmm
Polymorph energy (0 for the lowest one): 0.4437 eV/atom
D(E_F): 0.55 states/eV per atom

```
4
Lattice="-0.8395 -2.1380 1.4712 1.8929 1.0545 1.6569 -7.1713 5.8789 4.4514" Properties=species:S:1:pos:R:3 pbc="T T T"
W -3.4169 2.8011 2.1210
W -0.1687 0.1383 0.1047
Li -1.2661 0.9280 2.6769
Sr -4.8518 3.8674 4.9026
```


No. 2
Compound: BiPb2Au3
Source: Alexandria via LeMat-Bulk
Functional: PBE
Structure: relaxed

ρ: 12.01 g cm⁻³
Energy relative to the elements: -0.0048 eV per atom
Space group: Cmcm
Polymorph energy (0 for the lowest one): 0.0792 eV/atom
D(E_F): 0.39 states/eV per atom

```
12
Lattice="-4.1279 3.3800 0.7264 -2.3525 -1.1378 -8.0743 -3.0792 -5.0654 6.0709" Properties=species:S:1:pos:R:3 pbc="T T T"
Au -3.8999 -2.8598 1.1230
Au -5.7443 -1.0637 2.2397
Au 0.0000 0.0000 0.0000
Au -5.6598 0.0367 -2.4000
Au -2.0640 1.6900 0.3632
Au -3.8153 -1.7595 -3.5167
Pb -3.2911 -2.7315 3.9849
Pb -2.8115 -1.1079 -0.8436
Pb -6.7482 -1.7152 -0.4334
Pb -6.2685 -0.0917 -5.2619
Bi -3.8042 2.1924 -1.8861
Bi -2.6762 0.0498 -5.4618
```


No. 3
Compound: Sr2La2P
Source: Alexandria via LeMat-Bulk
Functional: PBE
Structure: relaxed

ρ: 4.40 g cm⁻³
Energy relative to the elements: 0.0206 eV per atom
Space group: I4/mmm
Polymorph energy (0 for the lowest one): 0.2652 eV/atom
D(E_F): 0.91 states/eV per atom

```
5
Lattice="4.1439 0.0000 0.0000 0.0000 4.1439 0.0000 2.0720 2.0720 10.6349" Properties=species:S:1:pos:R:3 pbc="T T T"
Sr 4.1439 4.1439 9.0412
Sr 2.0720 2.0720 1.5937
La 2.0720 4.1439 5.3175
La 4.1439 2.0720 5.3175
P 0.0000 0.0000 0.0000
```


Q: The highest ρ belongs to which entry?
A: BiPb2Au3


Q: Among the records above, which one has the highest D(E_F)?
A: Sr2La2P


Q: Which formula does entry 1 have?
A: SrLiW2


Q: The highest polymorph energy (0 for the lowest one) belongs to which entry?
A: SrLiW2